Entry 1:
{"formula": "SnRuO2F", "functional": "PBE", "state": "relaxed", "e_form_raw_ev_per_atom": -0.4423, "cell": [[4.125, 0.000, 0.000], [0.000, 4.125, 0.000], [0.000, 0.000, 4.230]], "species": ["Ru", "Sn", "O", "O", "F"], "frac_coords": [[0.500, 0.500, 0.500], [0.000, 0.000, 0.000], [0.000, 0.500, 0.000], [0.500, 0.000, 0.000], [0.000, 0.000, 0.500]]}

=====

Entry 2:
{"formula": "SnRuOF2", "functional": "PBE", "state": "relaxed", "polymorph_energy_mev_per_atom": 413, "e_form_raw_ev_per_atom": -0.5521, "cell": [[4.442, 0.000, 0.000], [0.000, 4.442, 0.000], [0.000, 0.000, 4.109]], "species": ["Ru", "Sn", "O", "F", "F"], "frac_coords": [[0.500, 0.500, 0.500], [0.000, 0.000, 0.000], [0.000, 0.000, 0.500], [0.000, 0.500, 0.000], [0.500, 0.000, 0.000]]}

=====

Entry 3:
{"formula": "SnRuOF2", "functional": "PBE", "state": "relaxed", "polymorph_energy_mev_per_atom": 0, "e_form_raw_ev_per_atom": -0.9646, "cell": [[-0.160, -2.298, 3.926], [1.760, -3.654, -2.067], [3.410, 1.175, 0.827]], "species": ["Ru", "Sn", "O", "F", "F"], "frac_coords": [[0.000, 0.000, 0.000], [0.500, 0.500, 0.500], [0.000, 0.000, 0.500], [0.000, 0.500, 0.000], [0.500, 0.000, 0.000]]}

=====

Entry 4:
{"formula": "SnRuO2F", "functional": "PBE", "state": "relaxed", "e_form_raw_ev_per_atom": -0.8615, "cell": [[-0.305, 3.877, 0.869], [-3.776, -0.554, 1.146], [1.341, -0.798, 4.030]], "species": ["Ru", "Sn", "O", "O", "F"], "frac_coords": [[0.000, 0.000, 0.000], [0.500, 0.500, 0.500], [0.000, 0.500, 0.000], [0.500, 0.000, 0.000], [0.000, 0.000, 0.500]]}

=====

Entry 5:
{"formula": "SnRuO2F", "functional": "PBE", "state": "relaxed", "e_form_raw_ev_per_atom": 0.4772, "cell": [[4.506, 0.000, 0.000], [0.000, 3.811, 0.000], [0.000, 0.000, 4.506]], "species": ["Ru", "Sn", "O", "O", "F"], "frac_coords": [[0.000, 0.500, 0.000], [0.500, 0.500, 0.500], [0.000, 0.000, 0.500], [0.500, 0.000, 0.000], [0.000, 0.000, 0.000]]}

=====

Entry 6:
{"formula": "SrRuO4F", "functional": "PBE", "state": "relaxed", "e_form_raw_ev_per_atom": -1.7041, "cell": [[-1.841, 1.659, -5.921], [-6.360, 0.632, 0.600], [-0.782, 7.280, 0.604]], "species": ["Sr", "Sr", "Ru", "Ru", "O", "O", "O", "O", "O", "O", "O", "O", "F", "F"], "frac_coords": [[0.188, 0.188, 0.884], [0.812, 0.812, 0.116], [0.644, 0.644, 0.733], [0.356, 0.356, 0.267], [0.276, 0.276, 0.508], [0.724, 0.724, 0.492], [0.133, 0.483, 0.155], [0.535, 0.535, 0.227], [0.517, 0.867, 0.845], [0.483, 0.133, 0.155], [0.465, 0.465, 0.773], [0.867, 0.517, 0.845], [0.026, 0.026, 0.178], [0.974, 0.974, 0.822]]}

=====

Entry 7:
{"formula": "Sr3RuO6F2", "functional": "PBE", "state": "relaxed", "e_form_raw_ev_per_atom": -2.0657, "cell": [[5.002, 0.000, 0.353], [0.000, 6.928, 0.000], [-0.239, -3.464, 5.954]], "species": ["Sr", "Sr", "Sr", "Ru", "O", "O", "O", "O", "O", "O", "F", "F"], "frac_coords": [[0.000, 0.500, 0.000], [0.500, 0.500, 0.500], [0.500, 0.000, 0.500], [0.500, 0.000, 0.000], [0.716, 0.258, 0.121], [0.284, 0.742, 0.879], [0.705, 0.863, 0.727], [0.295, 0.137, 0.273], [0.284, 0.137, 0.879], [0.716, 0.863, 0.121], [0.242, 0.669, 0.337], [0.758, 0.331, 0.663]]}

=====

Entry 8:
{"formula": "TaRuO2F", "functional": "PBE", "state": "relaxed", "e_form_raw_ev_per_atom": 0.0109, "cell": [[-3.876, 0.128, -0.707], [0.643, -1.117, -3.726], [-0.326, -3.837, 1.094]], "species": ["Ru", "F", "O", "O", "Ta"], "frac_coords": [[0.000, 0.000, 0.000], [0.000, 0.000, 0.500], [0.000, 0.500, 0.000], [0.500, 0.000, 0.000], [0.500, 0.500, 0.500]]}

=====

Which formula does entry 7 have?
Sr3RuO6F2